Entry 1:
VASP calculation (GGA-PBEsol) on SnPdC3 after structural relaxation.

```
data_SnPdC3
_cell_length_a 4.2003
_cell_length_b 4.2003
_cell_length_c 4.2003
_cell_angle_alpha 90.00
_cell_angle_beta 90.00
_cell_angle_gamma 90.00
_symmetry_space_group_name_H-M 'P m -3 m'
_symmetry_Int_Tables_number 221
_symmetry_space_group_name_Hall '-P 4 2 3'
loop_
_atom_site_label
_atom_site_type_symbol
_atom_site_fract_x
_atom_site_fract_y
_atom_site_fract_z
_atom_site_occupancy
Sn1 Sn 0.0000 0.0000 0.0000 1
Pd1 Pd 0.5000 0.5000 0.5000 1
C1 C 0.0000 0.0000 0.5000 1
```

Computed properties:
**Mass density**: 5.85 Mg/m³
**Energy relative to the elements**: 3071.5 meV/atom
**Energy relative to the lowest polymorph listed for this composition**: 3.30 eV per formula unit

Entry 2:
VASP calculation (GGA-PBEsol) on BaBiTeI2 after structural relaxation.

```
data_BaBiTeI2
_cell_length_a 6.3846
_cell_length_b 6.3846
_cell_length_c 6.7286
_cell_angle_alpha 90.00
_cell_angle_beta 90.00
_cell_angle_gamma 90.00
_symmetry_space_group_name_H-M 'P 4/m m m'
_symmetry_Int_Tables_number 123
_symmetry_space_group_name_Hall '-P 4 2'
loop_
_atom_site_label
_atom_site_type_symbol
_atom_site_fract_x
_atom_site_fract_y
_atom_site_fract_z
_atom_site_occupancy
Ba1 Ba 0.0000 0.0000 0.0000 1
Bi1 Bi 0.5000 0.5000 0.5000 1
Te1 Te 0.0000 0.0000 0.5000 1
I1 I 0.0000 0.5000 0.0000 1
```

Computed properties:
**Mass density**: 4.41 Mg/m³
**Energy relative to the elements, uncorrected**: -0.0784 eV per atom